The following is a DFT calculation (GGA-PBE) of crystalline ZnSnAu6 at its relaxed geometry.

Cell and atoms, written as extended XYZ:
```
8
Lattice="-3.367 -1.040 -2.199 1.040 -4.010 0.304 -4.524 -0.625 7.223" Properties=species:S:1:pos:R:3 pbc="T T T"
Zn -2.262 -0.313 3.612
Sn 0.000 0.000 0.000
Au -1.164 -2.525 -0.947
Au -3.426 -2.837 2.664
Au -2.878 -0.685 0.808
Au -5.013 -0.980 4.216
Au -0.675 -2.170 2.060
Au -2.809 -2.465 5.468
```

Computed properties:
Its energy relative to the elements is -58 meV/atom. Its symmetry is No. 123.

---

The following is a DFT calculation (GGA-PBE) of crystalline K2AlTlO at its relaxed geometry.

Cell and atoms, written as extended XYZ:
```
5
Lattice="6.919 0.000 0.000 0.000 4.351 0.000 0.000 0.000 6.919" Properties=species:S:1:pos:R:3 pbc="T T T"
Tl 0.000 0.000 0.000
K 0.000 0.000 3.460
K 3.460 0.000 0.000
O 0.000 2.175 0.000
Al 3.460 2.175 3.460
```

Computed properties:
Its symmetry is No. 123. The calculation puts the formation energy (no corrections) at 105.4 kJ/mol of formula units.

---

The following is a DFT calculation (GGA-PBE) of crystalline TiBiSb2Os at its relaxed geometry.

Cell and atoms, written as extended XYZ:
```
5
Lattice="5.676 0.000 0.000 0.000 5.114 0.000 0.000 0.000 5.676" Properties=species:S:1:pos:R:3 pbc="T T T"
Sb 0.000 0.000 2.838
Sb 2.838 0.000 0.000
Os 2.838 2.557 2.838
Bi 0.000 0.000 0.000
Ti 0.000 2.557 0.000
```

Computed properties:
Its symmetry is No. 123. The calculation puts the formation energy (no corrections) at 1028.7 kJ/mol of formula units.

---

The following is a DFT calculation (GGA-PBE) of crystalline BCl at its relaxed geometry.

Cell and atoms, written as extended XYZ:
```
8
Lattice="5.855 0.000 0.000 0.000 5.855 0.000 0.000 0.000 5.855" Properties=species:S:1:pos:R:3 pbc="T T T"
B 1.464 1.464 1.464
B 1.464 4.391 4.391
B 4.391 1.464 4.391
B 4.391 4.391 1.464
Cl 0.000 0.000 0.000
Cl 0.000 2.927 2.927
Cl 2.927 0.000 2.927
Cl 2.927 2.927 0.000
```

Computed properties:
Its symmetry is No. 216. The calculation puts the formation energy (no corrections) at 312.2 kJ/mol of formula units.

---

The following is a DFT calculation (GGA-PBE) of crystalline NaInAu2 at its relaxed geometry.

Cell and atoms, written as extended XYZ:
```
16
Lattice="4.676 0.000 0.000 0.000 7.453 0.000 0.000 0.000 10.351" Properties=species:S:1:pos:R:3 pbc="T T T"
Na 3.507 5.310 3.420
Na 3.507 1.583 1.755
Na 1.169 2.144 6.931
Na 1.169 5.871 8.595
In 1.169 0.435 3.907
In 3.507 7.018 6.444
In 1.169 4.162 1.268
In 3.507 3.291 9.082
Au 3.507 5.573 0.346
Au 1.169 1.881 10.004
Au 3.507 1.846 4.829
Au 1.169 5.607 5.521
Au 3.507 0.448 9.065
Au 1.169 3.279 3.890
Au 3.507 4.175 6.461
Au 1.169 7.005 1.285
```

Computed properties:
Its energy relative to the elements is -311 meV/atom. Its symmetry is No. 62.

---

The following is a DFT calculation (GGA-PBE) of crystalline Mn2AsRh at its relaxed geometry.

Cell and atoms, written as extended XYZ:
```
4
Lattice="-2.277 -2.420 -1.681 2.596 -0.644 -2.590 1.439 -2.848 2.150" Properties=species:S:1:pos:R:3 pbc="T T T"
As 2.018 -1.746 -0.220
Mn 0.000 0.000 0.000
Mn 0.160 -1.532 -2.136
Rh -0.419 -2.634 0.235
```

Computed properties:
Its energy relative to the elements is -115 meV/atom. Its symmetry is No. 123.

---

The following is a DFT calculation (GGA-PBE) of crystalline HgPdAu3 at its relaxed geometry.

Cell and atoms, written as extended XYZ:
```
5
Lattice="-5.060 0.070 0.261 0.009 -4.850 1.467 0.270 1.466 4.843" Properties=species:S:1:pos:R:3 pbc="T T T"
Au 0.004 -2.425 0.734
Au 0.135 0.733 2.421
Au -2.530 0.035 0.130
Hg -2.391 -1.657 3.286
Pd 0.000 0.000 0.000
```

Computed properties:
Its energy relative to the elements is 665 meV/atom. Its symmetry is No. 221.

---

The following is a DFT calculation (GGA-PBE) of crystalline K4CdCo at its relaxed geometry.

Cell and atoms, written as extended XYZ:
```
6
Lattice="0.000 5.283 5.283 5.283 0.000 5.283 5.283 5.283 0.000" Properties=species:S:1:pos:R:3 pbc="T T T"
K 3.958 6.608 6.608
K 6.608 6.608 3.958
K 6.608 3.958 6.608
K 3.958 3.958 3.958
Cd 7.925 7.925 7.925
Co 0.000 0.000 0.000
```

Computed properties:
Its energy relative to the elements is 786 meV/atom. Its symmetry is No. 216.

---

The following is a DFT calculation (GGA-PBE) of crystalline Ag3WBr8 at its relaxed geometry.

Cell and atoms, written as extended XYZ:
```
12
Lattice="6.832 0.593 0.000 -2.679 6.313 0.000 0.000 0.000 8.775" Properties=species:S:1:pos:R:3 pbc="T T T"
Ag -1.340 3.156 1.886
Ag 2.076 3.453 0.000
Ag 3.416 0.297 6.889
W 2.076 3.453 4.388
Br 4.227 2.159 4.388
Br 4.267 2.136 0.000
Br 2.965 5.006 6.168
Br 3.031 4.966 2.608
Br 1.121 1.940 2.608
Br 1.188 1.900 6.168
Br -0.114 4.770 0.000
Br -0.075 4.746 4.388
```

Computed properties:
Its symmetry is No. 21. The calculation puts the formation energy (no corrections) at -409.8 kJ/mol of formula units.

---

The following is a DFT calculation (GGA-PBE) of crystalline NpMnAgSe4 at its relaxed geometry.

Cell and atoms, written as extended XYZ:
```
14
Lattice="8.037 0.000 0.000 4.019 6.501 -0.585 4.019 1.424 6.370" Properties=species:S:1:pos:R:3 pbc="T T T"
Np 0.000 0.000 0.000
Np 4.019 3.962 2.893
Mn 6.028 0.712 3.185
Mn 2.009 0.712 3.185
Ag 8.037 3.619 -0.023
Ag 8.037 4.305 5.808
Se 12.056 6.441 4.112
Se 8.037 6.007 3.796
Se 8.037 1.917 1.989
Se 4.019 1.483 1.673
Se 5.861 5.106 1.063
Se 10.214 5.106 1.063
Se 5.861 2.818 4.722
Se 10.214 2.818 4.722
```

Computed properties:
Its symmetry is No. 74. The calculation puts the formation energy (no corrections) at -429.3 kJ/mol of formula units.

---

The following is a DFT calculation (GGA-PBE) of crystalline PmY2Ho3 at its relaxed geometry.

Cell and atoms, written as extended XYZ:
```
12
Lattice="6.358 0.000 0.000 0.000 7.398 3.300 0.000 -0.747 8.066" Properties=species:S:1:pos:R:3 pbc="T T T"
Pm 5.014 5.479 9.364
Pm 1.835 1.171 2.002
Y 3.580 5.204 5.470
Y 0.400 4.431 4.149
Y 3.580 2.219 7.217
Y 0.400 1.446 5.896
Ho 0.725 6.116 7.055
Ho 3.904 3.496 2.578
Ho 0.725 3.154 8.788
Ho 3.904 0.534 4.311
Ho 2.007 6.108 10.439
Ho 5.186 0.542 0.926
```

Computed properties:
Its energy relative to the elements is 219 meV/atom. Its symmetry is No. 36.

---

The following is a DFT calculation (GGA-PBE) of crystalline BIBr2 at its relaxed geometry.

Cell and atoms, written as extended XYZ:
```
4
Lattice="0.855 4.905 0.288 -4.215 2.990 4.759 2.574 1.716 6.308" Properties=species:S:1:pos:R:3 pbc="T T T"
B -1.788 2.535 5.313
I -3.830 2.918 4.847
Br -0.496 2.392 3.913
Br -0.387 7.237 7.420
```

Computed properties:
Its symmetry is No. 44. The calculation puts the formation energy (no corrections) at -131.0 kJ/mol of formula units.

---

The following is a DFT calculation (GGA-PBE) of crystalline Be2AgP at its relaxed geometry.

Cell and atoms, written as extended XYZ:
```
4
Lattice="5.877 0.037 -0.012 4.183 4.129 0.012 -5.037 -2.066 2.214" Properties=species:S:1:pos:R:3 pbc="T T T"
P 5.288 2.190 0.000
Ag 2.594 2.282 1.113
Be 0.068 0.028 0.000
Be 2.103 -0.318 1.101
```

Computed properties:
Its energy relative to the elements is 249 meV/atom. Its symmetry is No. 44.

---

The following is a DFT calculation (GGA-PBE) of crystalline MnCoMo2N at its relaxed geometry.

Cell and atoms, written as extended XYZ:
```
5
Lattice="4.068 0.000 0.000 0.000 4.068 0.000 0.000 0.000 3.777" Properties=species:S:1:pos:R:3 pbc="T T T"
Mo 0.000 2.034 0.000
Mo 2.034 0.000 0.000
Mn 0.000 0.000 1.888
Co 2.034 2.034 1.888
N 0.000 0.000 0.000
```

Computed properties:
Its symmetry is No. 123. The calculation puts the formation energy (no corrections) at -14.9 kJ/mol of formula units.